(1)
Below is a relaxed structure of ZrGa2Ru3, with properties calculated at the PBE level.

The value obtained for the calculated volume is 15.20 A^3/atom. As for the spin magnetization: 0.00 μB/f.u. The density of states at the Fermi level comes out at 5.442 states/eV/f.u. Its energy of formation from the pure elements is -41.2 kJ per mole of atoms. For the total energy, the calculation gives -7.498 eV/atom.

The space group is P4/mmm (No. 123) and the conventional cell measures 3.1676, 3.1676 and 9.0910 Å, with angles of 90.00, 90.00 and 90.00 degrees. The distinct sites, in fractional coordinates, are Zr at (0.0000, 0.0000, 0.0000), Ga at (0.0000, 0.0000, 0.3403), Ru at (0.5000, 0.5000, 0.1809) and Ru at (0.5000, 0.5000, 0.5000).

=====

(2)
Below is a relaxed structure of V2Ru2Rh, with properties calculated at the PBE level.

The value obtained for the calculated volume is 14.21 A^3/atom. As for the spin magnetization: 0.00 μB/f.u. The density of states at the Fermi level comes out at 5.639 states/eV/f.u. Its energy of formation from the pure elements is -6.9 kJ per mole of atoms. For the total energy, the calculation gives -8.900 eV/atom. Its energy above the most stable polymorph in this dataset is 0.0000 eV/atom.

The space group is P4/mbm (No. 127) and the conventional cell measures 7.0428, 7.0428 and 2.8641 Å, with angles of 90.00, 90.00 and 90.00 degrees. The distinct sites, in fractional coordinates, are V at (0.1509, 0.3491, 0.0000), Ru at (0.1491, 0.6491, 0.5000) and Rh at (0.0000, 0.0000, 0.0000).

=====

(3)
Below is a relaxed structure of Lu2TlSn, with properties calculated at the PBE level.

The value obtained for the calculated volume is 26.06 A^3/atom. As for the spin magnetization: 0.00 μB/f.u. The density of states at the Fermi level comes out at 4.189 states/eV/f.u. Its energy of formation from the pure elements is -34.8 kJ per mole of atoms. For the total energy, the calculation gives -4.214 eV/atom. Its energy above the most stable polymorph in this dataset is 0.0433 eV/atom.

The space group is Fm-3m (No. 225) and the conventional cell measures 7.4706, 7.4706 and 7.4706 Å, with angles of 90.00, 90.00 and 90.00 degrees. The distinct sites, in fractional coordinates, are Lu at (0.2500, 0.2500, 0.2500), Tl at (0.0000, 0.0000, 0.0000) and Sn at (0.0000, 0.0000, 0.5000).

=====

(4)
Below is a relaxed structure of Pu3Zn2Rh4, with properties calculated at the PBE level.

The value obtained for the calculated volume is 19.24 A^3/atom. As for the spin magnetization: 15.10 μB/f.u. The density of states at the Fermi level comes out at 27.240 states/eV/f.u. Its energy of formation from the pure elements is -40.7 kJ per mole of atoms. For the total energy, the calculation gives -8.749 eV/atom. Its energy above the most stable polymorph in this dataset is 0.0000 eV/atom.

The space group is C2/m (No. 12) and the conventional cell measures 9.5758, 4.2756 and 8.5016 Å, with angles of 90.00, 95.74 and 90.00 degrees. The distinct sites, in fractional coordinates, are Pu at (0.0000, 0.0000, 0.0000), Pu at (0.1222, 0.5000, 0.3863), Zn at (0.1853, 0.5000, 0.7815), Rh at (0.0912, 0.0000, 0.6356) and Rh at (0.1956, 0.5000, 0.0890).

=====

(5)
Below is a relaxed structure of SrMg2SiNi, with properties calculated at the PBE level.

The value obtained for the calculated volume is 21.71 A^3/atom. As for the formation energy (no corrections): -90.5 kJ/mol of formula units. As for the spin magnetization: 0.00 μB/f.u. The density of states at the Fermi level comes out at 2.674 states/eV/f.u. For the total energy, the calculation gives -3.403 eV/atom. Its energy above the most stable polymorph in this dataset is 0.0000 eV/atom.

The space group is P4/mmm (No. 123) and the conventional cell measures 4.9054, 4.9054 and 4.5116 Å, with angles of 90.00, 90.00 and 90.00 degrees. The distinct sites, in fractional coordinates, are Sr at (0.0000, 0.0000, 0.0000), Mg at (0.0000, 0.5000, 0.5000), Si at (0.5000, 0.5000, 0.0000) and Ni at (0.5000, 0.5000, 0.5000).

=====

(6)
Below is a relaxed structure of Te2RhPb, with properties calculated at the PBE level.

The value obtained for the calculated volume is 24.85 A^3/atom. As for the formation energy (no corrections): 124.3 kJ/mol of formula units. As for the spin magnetization: 0.00 μB/f.u. The density of states at the Fermi level comes out at 2.835 states/eV/f.u. For the total energy, the calculation gives -4.014 eV/atom.

The space group is Pmmm (No. 47) and the conventional cell measures 3.8638, 4.8405 and 5.3138 Å, with angles of 90.00, 90.00 and 90.00 degrees. The distinct sites, in fractional coordinates, are Te at (0.0000, 0.0000, 0.0000), Te at (0.5000, 0.0000, 0.5000), Rh at (0.0000, 0.5000, 0.5000) and Pb at (0.5000, 0.5000, 0.0000).

=====

(7)
Below is a relaxed structure of RbTlZnGeSe, with properties calculated at the PBE level.

The value obtained for the calculated volume is 32.10 A^3/atom. As for the formation energy (no corrections): -117.1 kJ/mol of formula units. As for the spin magnetization: 0.00 μB/f.u. The density of states at the Fermi level comes out at 0.516 states/eV/f.u. For the total energy, the calculation gives -2.785 eV/atom. Its energy above the most stable polymorph in this dataset is 0.0794 eV/atom.

The space group is Cm (No. 8) and the conventional cell measures 8.1126, 4.5713 and 9.5065 Å, with angles of 90.00, 114.43 and 90.00 degrees. The distinct sites, in fractional coordinates, are Rb at (0.0000, 0.0000, 0.0000), Tl at (0.1777, 0.0000, 0.6599), Zn at (0.2447, 0.5000, 0.4426), Ge at (0.4240, 0.0000, 0.4812) and Se at (0.4371, 0.0000, 0.2211).

=====

(8)
Below is a relaxed structure of NaLa2ErTe4, with properties calculated at the PBE level.

The value obtained for the calculated volume is 32.24 A^3/atom. As for the formation energy (no corrections): -1090.1 kJ/mol of formula units. As for the spin magnetization: 0.00 μB/f.u. The density of states at the Fermi level comes out at 3.512 states/eV/f.u. For the total energy, the calculation gives -4.950 eV/atom.

The space group is P2/m (No. 10) and the conventional cell measures 7.7647, 4.4874 and 7.8394 Å, with angles of 90.00, 109.23 and 90.00 degrees. The distinct sites, in fractional coordinates, are Na at (0.0000, 0.0000, 0.0000), La at (0.5000, 0.0000, 0.5000), La at (0.5000, 0.5000, 0.0000), Er at (0.0000, 0.5000, 0.5000), Te at (0.2329, 0.0000, 0.7413) and Te at (0.2376, 0.5000, 0.2512).

=====

(9)
Below is a relaxed structure of Pr2Sm4Dy, with properties calculated at the PBE level.

The value obtained for the calculated volume is 35.24 A^3/atom. As for the spin magnetization: 0.00 μB/f.u. The density of states at the Fermi level comes out at 11.893 states/eV/f.u. Its energy of formation from the pure elements is 17.3 kJ per mole of atoms. For the total energy, the calculation gives -4.541 eV/atom. Its energy above the most stable polymorph in this dataset is 0.1654 eV/atom.

The space group is Cmme (No. 67) and the conventional cell measures 16.3891, 16.3990 and 3.6715 Å, with angles of 90.00, 90.00 and 90.00 degrees. The distinct sites, in fractional coordinates, are Pr at (0.0000, 0.0000, 0.0000), Pr at (0.2500, 0.2500, 0.0000), Sm at (0.1414, 0.1085, 0.4932) and Dy at (0.0000, 0.2500, 0.9919).

=====

(10)
Below is a relaxed structure of PmYNiPd, with properties calculated at the PBE level.

The value obtained for the calculated volume is 21.58 A^3/atom. As for the spin magnetization: 0.00 μB/f.u. The density of states at the Fermi level comes out at 4.472 states/eV/f.u. Its energy of formation from the pure elements is -52.5 kJ per mole of atoms. For the total energy, the calculation gives -6.092 eV/atom. Its energy above the most stable polymorph in this dataset is 0.0657 eV/atom.

The space group is F-43m (No. 216) and the conventional cell measures 7.0153, 7.0153 and 7.0153 Å, with angles of 90.00, 90.00 and 90.00 degrees. The distinct sites, in fractional coordinates, are Pm at (0.0000, 0.0000, 0.0000), Y at (0.0000, 0.0000, 0.5000), Ni at (0.2500, 0.2500, 0.7500) and Pd at (0.2500, 0.2500, 0.2500).

=====

(11)
Below is a relaxed structure of RbLa3Tb2Te6, with properties calculated at the PBE level.

The value obtained for the calculated volume is 33.96 A^3/atom. As for the formation energy (no corrections): -1631.9 kJ/mol of formula units. As for the spin magnetization: 0.00 μB/f.u. The density of states at the Fermi level comes out at 5.649 states/eV/f.u. For the total energy, the calculation gives -5.064 eV/atom.

The space group is C2/m (No. 12) and the conventional cell measures 19.8961, 4.5320 and 9.2707 Å, with angles of 90.00, 102.84 and 90.00 degrees. The distinct sites, in fractional coordinates, are Rb at (0.0000, 0.0000, 0.0000), La at (0.0000, 0.0000, 0.5000), La at (0.1595, 0.5000, 0.8228), Tb at (0.1694, 0.5000, 0.3449), Te at (0.0087, 0.5000, 0.2667), Te at (0.1689, 0.0000, 0.5765) and Te at (0.1748, 0.0000, 0.0986).